Compound: ScSi2Mo
Source: the Alexandria database
Functional: PBE-GGA
Structure: relaxed

Unit cell a=6.290 b=6.290 c=6.290 alpha=90.00 beta=90.00 gamma=90.00
Space group Fm-3m (No. 225)
Inequivalent atoms, fractional coordinates:
Sc 0.000 0.000 0.000 x4
Si 0.250 0.250 0.250 x8
Mo 0.000 0.000 0.500 x4

Output
**Total DFT energy (no corrections)**: -29.01 eV per formula unit

=====

Compound: Tb2CeGd
Source: the Alexandria database
Functional: PBE-GGA
Structure: relaxed

Unit cell a=3.540 b=3.540 c=10.066 alpha=90.00 beta=90.00 gamma=90.00
Space group P4/mmm (No. 123)
Inequivalent atoms, fractional coordinates:
Tb 0.000 0.000 0.244 x2
Ce 0.500 0.500 0.000 x1
Gd 0.500 0.500 0.500 x1

Output
**Formation energy**: 0.0602 eV/atom

=====

Compound: Dy6Pb2C
Source: the Alexandria database
Functional: PBE-GGA
Structure: relaxed

Unit cell a=5.273 b=6.852 c=14.169 alpha=90.00 beta=90.00 gamma=90.00
Space group Immm (No. 71)
Inequivalent atoms, fractional coordinates:
Dy 0.000 0.232 0.000 x4
Dy 0.000 0.256 0.365 x8
Pb 0.000 0.500 0.179 x4
C 0.000 0.500 0.500 x2

Output
**Formation energy**: 0.0325 eV/atom